No. 1
DFT (GGA-PBE) results for a relaxed structure of CsNaIrSe3.

Computed properties:
Calculated total energy = -4.151 eV/atom
Raw formation energy = -54.9 kJ/mol of atoms
Size of the total moment = 0.00 μB/cell
Crystal system = orthorhombic
Volume = 30.9 Å³/atom

a b c (Å): 7.831 7.831 7.246
angles (deg): 90.00 90.00 123.45
Sites, in units of the cell vectors:
Cs (0.243, 0.757, 0.750)
Cs (0.757, 0.243, 0.250)
Na (0.423, 0.577, 0.250)
Na (0.577, 0.423, 0.750)
Ir (0.044, 0.956, 0.250)
Ir (0.956, 0.044, 0.750)
Se (0.212, 0.212, 0.000)
Se (0.212, 0.212, 0.500)
Se (0.219, 0.781, 0.250)
Se (0.781, 0.219, 0.750)
Se (0.788, 0.788, 0.000)
Se (0.788, 0.788, 0.500)

=====

No. 2
DFT (GGA-PBE) results for a relaxed structure of CsNaIr2W.

Computed properties:
Calculated total energy = -3.903 eV/atom
Size of the total moment = 3.31 μB/cell
Crystal system = tetragonal
Volume = 24.8 Å³/atom
Energy relative to the elements = 2.667 eV per atom

a b c (Å): 4.957 4.957 5.049
angles (deg): 90.00 90.00 90.00
Sites, in units of the cell vectors:
Cs (0.000, 0.000, 0.000)
Na (0.500, 0.500, 0.500)
Ir (0.000, 0.500, 0.500)
Ir (0.500, 0.000, 0.500)
W (0.500, 0.500, 0.000)

=====

No. 3
DFT (GGA-PBE) results for a relaxed structure of Cs2NaYIr.

Computed properties:
Calculated total energy = -3.289 eV/atom
Size of the total moment = 0.00 μB/cell
Crystal system = tetragonal
Volume = 51.6 Å³/atom
Energy relative to the elements = 0.381 eV per atom

a b c (Å): 7.023 7.023 5.235
angles (deg): 90.00 90.00 90.00
Sites, in units of the cell vectors:
Cs (0.000, 0.500, 0.000)
Cs (0.500, 0.000, 0.000)
Na (0.000, 0.000, 0.500)
Y (0.500, 0.500, 0.500)
Ir (0.500, 0.500, 0.000)

=====

No. 4
DFT (GGA-PBE) results for a relaxed structure of CsNbIr2.

Computed properties:
Calculated total energy = -5.865 eV/atom
Size of the total moment = 0.00 μB/cell
Crystal system = cubic
Volume = 20.1 Å³/atom
Energy relative to the elements = 1.296 eV per atom

a b c (Å): 4.843 4.843 4.843
angles (deg): 60.00 60.00 60.00
Sites, in units of the cell vectors:
Cs (0.000, 0.000, 0.000)
Nb (0.500, 0.500, 0.500)
Ir (0.250, 0.250, 0.250)
Ir (0.750, 0.750, 0.750)

=====

No. 5
DFT (GGA-PBE) results for a relaxed structure of CsNbIr2.

Computed properties:
Calculated total energy = -6.312 eV/atom
Size of the total moment = 0.00 μB/cell
Crystal system = tetragonal
Volume = 28.5 Å³/atom
Energy relative to the elements = 0.850 eV per atom

a b c (Å): 6.668 6.668 6.668
angles (deg): 111.16 111.16 106.14
Sites, in units of the cell vectors:
Cs (0.000, 0.000, 0.000)
Cs (0.750, 0.250, 0.500)
Nb (0.250, 0.750, 0.500)
Nb (0.500, 0.500, 0.000)
Ir (0.214, 0.625, 0.089)
Ir (0.375, 0.464, 0.589)
Ir (0.536, 0.125, 0.911)
Ir (0.875, 0.786, 0.411)

=====

No. 6
DFT (GGA-PBE) results for a relaxed structure of CsNb2Ir.

Computed properties:
Calculated total energy = -6.149 eV/atom
Size of the total moment = 0.01 μB/cell
Crystal system = tetragonal
Volume = 31.7 Å³/atom
Energy relative to the elements = 1.314 eV per atom

a b c (Å): 9.548 9.548 9.548
angles (deg): 147.29 147.29 46.94
Sites, in units of the cell vectors:
Cs (0.000, 0.000, 0.000)
Cs (0.750, 0.250, 0.500)
Nb (0.353, 0.625, 0.228)
Nb (0.375, 0.603, 0.728)
Nb (0.397, 0.125, 0.772)
Nb (0.875, 0.647, 0.272)
Ir (0.250, 0.750, 0.500)
Ir (0.500, 0.500, 0.000)

=====

No. 7
DFT (GGA-PBE) results for a relaxed structure of CsNb2Ir.

Computed properties:
Calculated total energy = -6.318 eV/atom
Size of the total moment = 0.00 μB/cell
Crystal system = cubic
Volume = 19.4 Å³/atom
Energy relative to the elements = 1.146 eV per atom

a b c (Å): 4.788 4.788 4.788
angles (deg): 60.00 60.00 60.00
Sites, in units of the cell vectors:
Cs (0.000, 0.000, 0.000)
Nb (0.250, 0.250, 0.250)
Nb (0.750, 0.750, 0.750)
Ir (0.500, 0.500, 0.500)

=====

No. 8
DFT (GGA-PBE) results for a relaxed structure of CsNbSi2Ir.

Computed properties:
Calculated total energy = -4.407 eV/atom
Raw formation energy = 165.9 kJ/mol of atoms
Size of the total moment = 3.50 μB/cell
Crystal system = tetragonal
Volume = 28.7 Å³/atom

a b c (Å): 4.936 4.936 5.881
angles (deg): 90.00 90.00 90.00
Sites, in units of the cell vectors:
Cs (0.000, 0.000, 0.000)
Nb (0.000, 0.000, 0.500)
Si (0.000, 0.500, 0.500)
Si (0.500, 0.000, 0.500)
Ir (0.500, 0.500, 0.000)

=====

- Which formula does entry 5 have?
  CsNbIr2

=====

- What is the volume in the third record?
  51.6 Å³/atom